## SiNiPb (PBE)

Data for a relaxed SiNiPb crystal.

Crystal system: hexagonal
Size of the total moment (Bohr magnetons per cell): 0.00
Space-group type: P-6m2, No. 187
Energy relative to the elements, uncorrected (kJ/mol of formula units): 25
ΔE to the lowest computed polymorph (meV per atom): 0

Cell: 3.9469 3.9469 4.3516 Å, 90.00 90.00 120.00°
Last column: nearest neighbours and their distance in Å.
Fractional positions:
Pb (0.6667, 0.3333, 0.3337)  6 Ni 3.15, 6 Si 3.15
Ni (0.0000, 0.0000, 0.8328)  3 Si 2.28
Si (0.3333, 0.6667, 0.8336)  3 Ni 2.28


## ReHg2Te (PBE)

Data for a relaxed ReHg2Te crystal.

Crystal system: cubic
Size of the total moment (Bohr magnetons per cell): 3.02
Space-group type: Fm-3m, No. 225
Energy relative to the elements, uncorrected (kJ/mol of formula units): 490
ΔE to the lowest computed polymorph (meV per atom): 866

Cell: 5.0552 5.0552 5.0552 Å, 60.00 60.00 60.00°
Last column: nearest neighbours and their distance in Å.
Fractional positions:
Hg (0.7500, 0.7500, 0.7500)  4 Re 3.10, 4 Te 3.10
Hg (0.2500, 0.2500, 0.2500)  4 Re 3.10, 4 Te 3.10
Re (0.5000, 0.5000, 0.5000)  8 Hg 3.10
Te (0.0000, 0.0000, 0.0000)  8 Hg 3.10


## SrTl3Zn (PBE)

Data for a relaxed SrTl3Zn crystal.

Crystal system: cubic
Size of the total moment (Bohr magnetons per cell): 0.00
Space-group type: Pm-3m, No. 221
E_form (eV/atom): 0.6644
ΔE to the lowest computed polymorph (meV per atom): 825

Cell: 6.3829 6.3829 6.3829 Å, 90.00 90.00 90.00°
Last column: nearest neighbours and their distance in Å.
Fractional positions:
Tl (0.0000, 0.0000, 0.5000)  2 Sr 3.19
Sr (0.0000, 0.0000, 0.0000)  6 Tl 3.19
Tl (0.5000, 0.0000, 0.0000)  2 Sr 3.19
Zn (0.5000, 0.5000, 0.5000)  12 Tl 4.51
Tl (0.0000, 0.5000, 0.0000)  2 Sr 3.19


## TbTm5Al3 (PBE)

Data for a relaxed TbTm5Al3 crystal.

Crystal system: hexagonal
Size of the total moment (Bohr magnetons per cell): 0.00
Space-group type: P6_3/mcm, No. 193
E_form (eV/atom): -0.2757

Cell: 6.5642 8.9768 8.9769 Å, 120.00 90.00 90.00°
Last column: nearest neighbours and their distance in Å.
Fractional positions:
Al (0.7500, 0.6649, 0.0000)  5 Tm 2.97-3.28
Tb (0.0000, 0.0000, 0.0000)  2 Tb 3.28, 6 Tm 3.42, 6 Al 3.43
Al (0.2500, 0.0000, 0.3350)  5 Tm 2.97-3.28
Tm (0.7500, 0.3337, 0.0000)  5 Al 2.97-3.28
Tm (0.0000, 0.3333, 0.6667)  8 Tm 3.28-3.41, 6 Al 3.41
Tb (0.5000, 0.0000, 0.0000)  2 Tb 3.28, 6 Tm 3.42, 6 Al 3.43
Tm (0.7500, 0.6663, 0.6663)  5 Al 2.97-3.28
Tm (0.0000, 0.6667, 0.3333)  8 Tm 3.28-3.41, 6 Al 3.41
Tm (0.2500, 0.3337, 0.3337)  5 Al 2.97-3.28
Tm (0.7500, 0.0000, 0.3337)  5 Al 2.97-3.28
Tm (0.2500, 0.0000, 0.6663)  5 Al 2.97-3.28
Al (0.2500, 0.6650, 0.6650)  5 Tm 2.97-3.28
Al (0.7500, 0.3350, 0.3350)  5 Tm 2.97-3.28
Tm (0.5000, 0.3333, 0.6667)  8 Tm 3.28-3.41, 6 Al 3.41
Al (0.7500, 0.0000, 0.6650)  5 Tm 2.97-3.28
Tm (0.2500, 0.6663, 0.0000)  5 Al 2.97-3.28
Al (0.2500, 0.3351, 0.0000)  5 Tm 2.97-3.28
Tm (0.5000, 0.6667, 0.3333)  8 Tm 3.28-3.41, 6 Al 3.41


## HfZrRhW (PBE)

Data for a relaxed HfZrRhW crystal.

Crystal system: cubic
Size of the total moment (Bohr magnetons per cell): 0.00
Space-group type: F-43m, No. 216
E_form (eV/atom): -0.3315

Cell: 4.6738 4.6738 4.6738 Å, 60.00 60.00 60.00°
Last column: nearest neighbours and their distance in Å.
Fractional positions:
W (0.5000, 0.5000, 0.5000)  4 Hf 2.86, 4 Zr 2.86
Zr (0.2500, 0.2500, 0.2500)  4 W 2.86, 4 Rh 2.86
Rh (0.0000, 0.0000, 0.0000)  4 Zr 2.86, 4 Hf 2.86
Hf (0.7500, 0.7500, 0.7500)  4 W 2.86, 4 Rh 2.86


## Pm2Er2Pt15 (PBE)

Data for a relaxed Pm2Er2Pt15 crystal.

Crystal system: trigonal
Size of the total moment (Bohr magnetons per cell): 0.00
Space-group type: R-3m, No. 166
E_form (eV/atom): -0.7376

Cell: 7.1001 7.1001 7.1001 Å, 82.32 82.32 82.32°
Last column: nearest neighbours and their distance in Å.
Fractional positions:
Pt (0.6531, 0.6531, 0.1593)  8 Pt 2.68-2.87, 1 Er 2.91
Pt (0.6891, 0.0000, 0.3109)  8 Pt 2.73-2.91
Pt (0.1593, 0.6531, 0.6531)  8 Pt 2.68-2.87, 1 Er 2.91
Pt (0.0000, 0.5000, 0.0000)  8 Pt 2.72-2.73, 2 Er 2.82
Pt (0.3469, 0.8407, 0.3469)  8 Pt 2.68-2.87, 1 Er 2.91
Pt (0.0000, 0.6891, 0.3109)  8 Pt 2.73-2.91
Pt (0.5000, 0.0000, 0.0000)  8 Pt 2.72-2.73, 2 Er 2.82
Pt (0.6531, 0.1593, 0.6531)  8 Pt 2.68-2.87, 1 Er 2.91
Pt (0.8407, 0.3469, 0.3469)  8 Pt 2.68-2.87, 1 Er 2.91
Pt (0.3109, 0.6891, 0.0000)  8 Pt 2.73-2.91
Pt (0.3109, 0.0000, 0.6891)  8 Pt 2.73-2.91
Pm (0.3581, 0.3581, 0.3581)  12 Pt 3.22-3.41, 1 Er 3.48
Er (0.1066, 0.1066, 0.1066)  6 Pt 2.82-2.91, 1 Er 2.95
Pt (0.0000, 0.3109, 0.6891)  8 Pt 2.73-2.91
Pt (0.0000, 0.0000, 0.5000)  8 Pt 2.72-2.73, 2 Er 2.82
Pt (0.3469, 0.3469, 0.8407)  8 Pt 2.68-2.87, 1 Er 2.91
Er (0.8934, 0.8934, 0.8934)  6 Pt 2.82-2.91, 1 Er 2.95
Pt (0.6891, 0.3109, 0.0000)  8 Pt 2.73-2.91
Pm (0.6419, 0.6419, 0.6419)  12 Pt 3.22-3.41, 1 Er 3.48


## TbYRe4 (PBE)

Data for a relaxed TbYRe4 crystal.

Crystal system: cubic
Size of the total moment (Bohr magnetons per cell): 0.00
Space-group type: F-43m, No. 216
E_form (eV/atom): -0.1622

Cell: 5.4282 5.4282 5.4282 Å, 60.00 60.00 60.00°
Last column: nearest neighbours and their distance in Å.
Fractional positions:
Y (0.2500, 0.2500, 0.2500)  12 Re 3.18, 4 Tb 3.32
Re (0.6250, 0.6250, 0.6250)  6 Re 2.71
Re (0.1249, 0.6250, 0.6250)  6 Re 2.71
Re (0.6250, 0.6250, 0.1249)  6 Re 2.71
Re (0.6250, 0.1249, 0.6250)  6 Re 2.71
Tb (0.0000, 0.0000, 0.0000)  12 Re 3.18, 4 Y 3.32


## TbNd2Ga3Pd4 (PBE)

Data for a relaxed TbNd2Ga3Pd4 crystal.

Crystal system: tetragonal
Size of the total moment (Bohr magnetons per cell): 0.00
Space-group type: P-4m2, No. 115
E_form (eV/atom): -0.7885

Cell: 4.3111 4.3111 11.2761 Å, 90.00 90.00 90.00°
Last column: nearest neighbours and their distance in Å.
Fractional positions:
Pd (0.5000, 0.0000, 0.6575)  3 Ga 2.51-2.79, 2 Tb 2.79
Pd (0.0000, 0.5000, 0.3425)  3 Ga 2.51-2.79, 2 Tb 2.79
Nd (0.5000, 0.0000, 0.2256)  4 Ga 3.27, 8 Pd 3.32-3.33
Ga (0.5000, 0.0000, 0.8798)  5 Pd 2.51-2.55
Pd (0.5000, 0.5000, 0.0000)  4 Ga 2.55
Ga (0.0000, 0.5000, 0.1202)  5 Pd 2.51-2.55
Pd (0.0000, 0.0000, 0.0000)  4 Ga 2.55
Nd (0.0000, 0.5000, 0.7744)  4 Ga 3.27, 8 Pd 3.32-3.33
Ga (0.0000, 0.0000, 0.5000)  4 Pd 2.79, 4 Tb 3.05
Tb (0.5000, 0.5000, 0.5000)  4 Pd 2.79, 4 Ga 3.05


## AcFeCo2H8 (PBE)

Data for a relaxed AcFeCo2H8 crystal.

Crystal system: trigonal
Final energy (eV per formula unit): -55.73
Size of the total moment (Bohr magnetons per cell): 2.22
Space-group type: R-3, No. 148

Cell: 4.4623 4.4623 6.2400 Å, 69.05 69.05 60.00°
Last column: nearest neighbours and their distance in Å.
Fractional positions:
H (0.6439, 0.3191, 0.1280)  2 Co 1.66-1.80, 1 Fe 1.68
H (0.7922, 0.7922, 0.6233)  1 Co 1.64
Co (0.3042, 0.3042, 0.0873)  7 H 1.64-1.80
H (0.2078, 0.2078, 0.3767)  1 Co 1.64
H (0.0910, 0.3561, 0.8720)  2 Co 1.66-1.80, 1 Fe 1.68
H (0.6809, 0.0910, 0.8720)  2 Co 1.66-1.80, 1 Fe 1.68
H (0.3561, 0.6809, 0.8720)  2 Co 1.66-1.80, 1 Fe 1.68
Co (0.6958, 0.6958, 0.9127)  7 H 1.64-1.80
H (0.3191, 0.9090, 0.1280)  2 Co 1.66-1.80, 1 Fe 1.68
Ac (0.5000, 0.5000, 0.5000)  12 H 2.49-2.67
H (0.9090, 0.6439, 0.1280)  2 Co 1.66-1.80, 1 Fe 1.68
Fe (0.0000, 0.0000, 0.0000)  6 H 1.68


## ZnH3W (PBE)

Data for a relaxed ZnH3W crystal.

Crystal system: cubic
Size of the total moment (Bohr magnetons per cell): 0.00
Space-group type: Pm-3m, No. 221
ΔE to the lowest computed polymorph (meV per atom): 520

Cell: 3.3854 3.3854 3.3854 Å, 90.00 90.00 90.00°
Last column: nearest neighbours and their distance in Å.
Fractional positions:
Zn (0.0000, 0.0000, 0.0000)  6 H 1.69
W (0.5000, 0.5000, 0.5000)  12 H 2.39
H (0.0000, 0.5000, 0.0000)  2 Zn 1.69
H (0.5000, 0.0000, 0.0000)  2 Zn 1.69
H (0.0000, 0.0000, 0.5000)  2 Zn 1.69


## Pm2Y6Tm3Pu (PBE)

Data for a relaxed Pm2Y6Tm3Pu crystal.

Crystal system: monoclinic
Size of the total moment (Bohr magnetons per cell): 6.25
Space-group type: C2/m, No. 12
E_form (eV/atom): 0.0548

Cell: 6.1607 6.1607 11.7381 Å, 95.04 95.04 120.03°
Last column: nearest neighbours and their distance in Å.
Fractional positions:
Tm (0.1669, 0.8331, 0.5000)  6 Y 3.52-3.54, 6 Tm 3.55-3.56
Pm (0.6665, 0.3335, 0.0000)  3 Pm 3.55-3.56, 3 Pu 3.56, 6 Y 3.57
Y (0.4133, 0.0837, 0.2516)  6 Y 3.52-3.58, 3 Tm 3.52-3.54, 1 Pu 3.55, 2 Pm 3.57
Pm (0.3335, 0.6665, 0.0000)  3 Pm 3.55-3.56, 3 Pu 3.56, 6 Y 3.57
Y (0.5867, 0.9163, 0.7484)  6 Y 3.52-3.58, 3 Tm 3.52-3.54, 1 Pu 3.55, 2 Pm 3.57
Pu (0.0000, 0.0000, 0.0000)  6 Y 3.55, 6 Pm 3.56
Y (0.9163, 0.5867, 0.7484)  6 Y 3.52-3.58, 3 Tm 3.52-3.54, 1 Pu 3.55, 2 Pm 3.57
Tm (0.5000, 0.5000, 0.5000)  6 Y 3.52-3.54, 6 Tm 3.56
Y (0.7541, 0.7541, 0.2518)  6 Y 3.52-3.58, 3 Tm 3.52-3.54, 1 Pu 3.55, 2 Pm 3.57
Y (0.0837, 0.4133, 0.2516)  6 Y 3.52-3.58, 3 Tm 3.52-3.54, 1 Pu 3.55, 2 Pm 3.57
Y (0.2459, 0.2459, 0.7482)  6 Y 3.52-3.58, 3 Tm 3.52-3.54, 1 Pu 3.55, 2 Pm 3.57
Tm (0.8331, 0.1669, 0.5000)  6 Y 3.52-3.54, 6 Tm 3.55-3.56


## LaErTlIr (PBE)

Data for a relaxed LaErTlIr crystal.

Crystal system: cubic
Size of the total moment (Bohr magnetons per cell): 0.00
Space-group type: F-43m, No. 216
E_form (eV/atom): -0.4069

Cell: 5.2124 5.2124 5.2124 Å, 60.00 60.00 60.00°
Last column: nearest neighbours and their distance in Å.
Fractional positions:
Er (0.7500, 0.7500, 0.7500)  4 Ir 3.19, 4 Tl 3.19
Ir (0.0000, 0.0000, 0.0000)  4 La 3.19, 4 Er 3.19
La (0.2500, 0.2500, 0.2500)  4 Tl 3.19, 4 Ir 3.19
Tl (0.5000, 0.5000, 0.5000)  4 La 3.19, 4 Er 3.19